No. 1
A plane-wave DFT calculation with PBE was carried out for a geometry-optimized ReSnW structure.

Cell lengths 6.2069, 6.2069, 6.2069 Å; angles 90.00, 90.00, 90.00 degrees
Space group F-43m (No. 216)
Unique sites:
Re  0.0000  0.0000  0.0000 [4 per cell]
Sn  0.2500  0.2500  0.7500 [4 per cell]
W  0.2500  0.2500  0.2500 [4 per cell]

Calculated values
E_tot   -111.438 eV for the cell shown

No. 2
A plane-wave DFT calculation with PBE was carried out for a geometry-optimized Y2ZnHgAs2O2 structure.

Cell lengths 4.0279, 4.0279, 9.0186 Å; angles 90.00, 90.00, 90.00 degrees
Space group P-4m2 (No. 115)
Unique sites:
Y  0.0000  0.5000  0.1179 [2 per cell]
Zn  0.5000  0.5000  0.5000 [1 per cell]
Hg  0.0000  0.0000  0.5000 [1 per cell]
As  0.0000  0.5000  0.7002 [2 per cell]
O  0.0000  0.0000  0.0000 [1 per cell]
O  0.5000  0.5000  0.0000 [1 per cell]

Calculated values
E_tot   -46.911 eV for the cell shown

No. 3
A plane-wave DFT calculation with PBE was carried out for a geometry-optimized NaBeSnAu structure.

Cell lengths 6.6946, 6.6946, 6.6946 Å; angles 90.00, 90.00, 90.00 degrees
Space group F-43m (No. 216)
Unique sites:
Na  0.0000  0.0000  0.0000 [4 per cell]
Be  0.2500  0.2500  0.2500 [4 per cell]
Sn  0.0000  0.0000  0.5000 [4 per cell]
Au  0.2500  0.2500  0.7500 [4 per cell]

Calculated values
E_tot   -46.560 eV for the cell shown